A relaxed SrCdGa3 crystal. Source: Alexandria via LeMat-Bulk, functional PBE.

## Properties
ΔH_f (0 K): 112 meV per atom
space group: No. 221
total moment: 0.000 μB/atom
electronic total energy: -0.1634 Ry per atom
density of states at the Fermi level: 0.369 states/eV per atom

Structure (POSCAR):
```
SrCdGa3
1.0
5.240 0.000 0.000
0.000 5.240 0.000
0.000 0.000 5.240
Sr Cd Ga
1 1 3
Direct
0.000 0.000 0.000
0.500 0.500 0.500
0.000 0.500 0.500
0.500 0.000 0.500
0.500 0.500 0.000
```

=====

A relaxed Rb2Sm2HfSe6 crystal. Source: Alexandria via LeMat-Bulk, functional PBE.

## Properties
uncorrected formation energy: -1.634 eV per atom
space group: No. 12
total moment: 0.000 μB/atom
electronic total energy: -0.4023 Ry per atom
density of states at the Fermi level: 0.000 states/eV per atom

Structure (POSCAR):
```
Rb2Sm2HfSe6
1.0
3.608 -6.184 0.000
3.608 6.184 0.000
-2.497 0.000 8.187
Rb Sm Hf Se
2 2 1 6
Direct
0.172 0.828 0.000
0.828 0.172 0.000
0.333 0.667 0.500
0.667 0.333 0.500
0.000 0.000 0.500
0.068 0.377 0.692
0.243 0.243 0.310
0.377 0.068 0.692
0.623 0.932 0.308
0.757 0.757 0.690
0.932 0.623 0.308
```

=====

A relaxed CaPrPH2 crystal. Source: Alexandria via LeMat-Bulk, functional PBE.

## Properties
space group: No. 63
total moment: 0.000 μB/atom
electronic total energy: -0.3420 Ry per atom
density of states at the Fermi level: 0.005 states/eV per atom

Structure (POSCAR):
```
CaPrPH2
1.0
1.976 -5.981 0.000
1.976 5.981 0.000
0.000 0.000 7.318
Ca Pr P H
2 2 2 4
Direct
0.000 0.000 0.000
0.000 0.000 0.500
0.261 0.739 0.750
0.739 0.261 0.250
0.427 0.573 0.250
0.573 0.427 0.750
0.188 0.812 0.071
0.188 0.812 0.429
0.812 0.188 0.571
0.812 0.188 0.929
```

=====

A relaxed Re2MoHRh crystal. Source: Alexandria via LeMat-Bulk, functional PBE.

## Properties
space group: No. 123
total moment: 0.000 μB/atom
electronic total energy: -0.6802 Ry per atom
density of states at the Fermi level: 0.597 states/eV per atom

Structure (POSCAR):
```
Re2MoHRh
1.0
3.973 0.000 0.000
0.000 3.973 0.000
0.000 0.000 3.915
Re Mo H Rh
2 1 1 1
Direct
0.000 0.500 0.000
0.500 0.000 0.000
0.000 0.000 0.500
0.500 0.500 0.000
0.500 0.500 0.500
```

=====

A relaxed CeAl4Zn crystal. Source: Alexandria via LeMat-Bulk, functional PBE.

## Properties
ΔH_f (0 K): -96 meV per atom
space group: No. 216
total moment: 0.207 μB/atom
electronic total energy: -0.2787 Ry per atom
density of states at the Fermi level: 1.391 states/eV per atom

Structure (POSCAR):
```
CeAl4Zn
1.0
0.000 3.899 3.899
3.899 0.000 3.899
3.899 3.899 0.000
Ce Al Zn
1 4 1
Direct
0.000 0.000 0.000
0.375 0.375 0.375
0.375 0.375 0.876
0.375 0.876 0.375
0.876 0.375 0.375
0.750 0.750 0.750
```

=====

A relaxed Zr2PbW crystal. Source: Alexandria via LeMat-Bulk, functional PBE.

## Properties
ΔH_f (0 K): -15 meV per atom
space group: No. 123
total moment: 0.000 μB/atom
electronic total energy: -0.6214 Ry per atom
density of states at the Fermi level: 0.602 states/eV per atom

Structure (POSCAR):
```
Zr2PbW
1.0
3.522 0.000 0.000
0.000 3.522 0.000
0.000 0.000 6.876
Zr Pb W
2 1 1
Direct
0.000 0.000 0.224
0.000 0.000 0.776
0.500 0.500 0.500
0.500 0.500 0.000
```

=====

A relaxed Zn2CrCl crystal. Source: Alexandria via LeMat-Bulk, functional PBE.

## Properties
uncorrected formation energy: 0.179 eV per atom
space group: No. 6
total moment: 0.861 μB/atom
electronic total energy: -0.2444 Ry per atom
density of states at the Fermi level: 0.542 states/eV per atom

Structure (POSCAR):
```
Zn2CrCl
1.0
3.149 0.000 0.000
0.000 4.544 0.000
-0.009 0.000 4.822
Zn Cr Cl
2 1 1
Direct
0.000 0.000 0.000
0.001 0.500 0.729
0.500 0.000 0.524
0.499 0.500 0.290
```

=====

A relaxed SmY2Tl crystal. Source: Alexandria via LeMat-Bulk, functional PBE.

## Properties
ΔH_f (0 K): -188 meV per atom
space group: No. 123
total moment: 0.000 μB/atom
electronic total energy: -0.3816 Ry per atom
density of states at the Fermi level: 1.078 states/eV per atom

Structure (POSCAR):
```
SmY2Tl
1.0
3.657 0.000 0.000
0.000 3.657 0.000
0.000 0.000 9.135
Sm Y Tl
1 2 1
Direct
0.000 0.000 0.000
0.500 0.500 0.276
0.500 0.500 0.724
0.000 0.000 0.500
```